# 1
# DyMgGa PBE relaxed
# Formation energy from the elements = -0.281 eV/atom
# Spin magnetization = 0.00 μB per cell
# DOS at the Fermi energy = 6.04 states/eV per cell
data_DyMgGa
_space_group_name_H-M_alt 'P 1'
_space_group_IT_number 1
_space_group_name_Hall 'P 1'
_cell_length_a 3.603
_cell_length_b 8.271
_cell_length_c 8.271
_cell_angle_alpha 120.00
_cell_angle_beta 90.00
_cell_angle_gamma 90.00
loop_
_atom_site_label
_atom_site_type_symbol
_atom_site_fract_x
_atom_site_fract_y
_atom_site_fract_z
Mg1 Mg 0.000 0.387 0.000
Mg2 Mg 0.000 0.613 0.613
Mg3 Mg 0.000 0.000 0.387
Dy1 Dy 0.500 0.282 0.282
Dy2 Dy 0.500 0.000 0.718
Dy3 Dy 0.500 0.718 0.000
Ga1 Ga 0.000 0.000 0.000
Ga2 Ga 0.500 0.667 0.333
Ga3 Ga 0.500 0.333 0.667

# 2
# DyMg2Ga3 PBE relaxed
# Formation energy from the elements = -0.324 eV/atom
# Spin magnetization = 0.00 μB per cell
# DOS at the Fermi energy = 4.30 states/eV per cell
data_DyMg2Ga3
_space_group_name_H-M_alt 'P 1'
_space_group_IT_number 1
_space_group_name_Hall 'P 1'
_cell_length_a 4.779
_cell_length_b 4.779
_cell_length_c 6.167
_cell_angle_alpha 90.00
_cell_angle_beta 90.00
_cell_angle_gamma 120.00
loop_
_atom_site_label
_atom_site_type_symbol
_atom_site_fract_x
_atom_site_fract_y
_atom_site_fract_z
Mg1 Mg 0.333 0.667 0.683
Mg2 Mg 0.667 0.333 0.317
Ga1 Ga 0.667 0.333 0.805
Ga2 Ga 0.333 0.667 0.195
Ga3 Ga 0.000 0.000 0.500
Dy1 Dy 0.000 0.000 0.000

# 3
# DyMg2Ga4 PBE relaxed
# Formation energy from the elements = -0.335 eV/atom
# Spin magnetization = 0.00 μB per cell
# DOS at the Fermi energy = 5.48 states/eV per cell
data_DyMg2Ga4
_space_group_name_H-M_alt 'P 1'
_space_group_IT_number 1
_space_group_name_Hall 'P 1'
_cell_length_a 5.896
_cell_length_b 5.847
_cell_length_c 8.745
_cell_angle_alpha 109.53
_cell_angle_beta 97.04
_cell_angle_gamma 90.00
loop_
_atom_site_label
_atom_site_type_symbol
_atom_site_fract_x
_atom_site_fract_y
_atom_site_fract_z
Mg1 Mg 0.347 0.380 0.611
Mg2 Mg 0.847 0.231 0.611
Mg3 Mg 0.653 0.620 0.389
Mg4 Mg 0.153 0.769 0.389
Dy1 Dy 0.250 0.771 0.000
Dy2 Dy 0.750 0.229 0.000
Ga1 Ga 0.473 0.888 0.681
Ga2 Ga 0.973 0.793 0.681
Ga3 Ga 0.210 0.203 0.848
Ga4 Ga 0.710 0.645 0.848
Ga5 Ga 0.527 0.112 0.319
Ga6 Ga 0.027 0.207 0.319
Ga7 Ga 0.290 0.355 0.152
Ga8 Ga 0.790 0.797 0.152

# 4
# Dy6Mg5Ga PBE relaxed
# Formation energy from the elements = -0.168 eV/atom
# Spin magnetization = 0.00 μB per cell
# DOS at the Fermi energy = 13.67 states/eV per cell
data_Dy6Mg5Ga
_space_group_name_H-M_alt 'P 1'
_space_group_IT_number 1
_space_group_name_Hall 'P 1'
_cell_length_a 5.286
_cell_length_b 7.504
_cell_length_c 8.376
_cell_angle_alpha 90.00
_cell_angle_beta 71.66
_cell_angle_gamma 90.00
loop_
_atom_site_label
_atom_site_type_symbol
_atom_site_fract_x
_atom_site_fract_y
_atom_site_fract_z
Dy1 Dy 0.161 0.244 0.678
Dy2 Dy 0.161 0.756 0.678
Dy3 Dy 0.839 0.244 0.322
Dy4 Dy 0.839 0.756 0.322
Dy5 Dy 0.500 0.238 0.000
Dy6 Dy 0.500 0.762 0.000
Mg1 Mg 0.673 0.000 0.654
Mg2 Mg 0.332 0.500 0.337
Mg3 Mg 0.327 0.000 0.346
Mg4 Mg 0.000 0.500 0.000
Mg5 Mg 0.668 0.500 0.663
Ga1 Ga 0.000 0.000 0.000